Material: NdDy2Ir
Method: DFT, PBE
State: optimized geometry

Calculated values
Symmetry: Cmcm
Fermi-level density of states: 5.07 states/eV/f.u.
Energy above the most stable polymorph in this dataset: 32.9 meV/atom
Formation energy from the elements: -48.64 kJ per mole of atoms

```
NdDy2Ir
1.0
3.8763 0.0000 0.0000
0.0000 12.2918 0.0000
0.0000 0.0000 9.2710
Nd Dy Ir
4 8 4
direct
0.0000 0.0720 0.2500
0.0000 0.9280 0.7500
0.5000 0.4280 0.7500
0.5000 0.5720 0.2500
0.0000 0.3571 0.0671
0.0000 0.3571 0.4329
0.0000 0.6429 0.5671
0.0000 0.6429 0.9329
0.5000 0.1429 0.5671
0.5000 0.1429 0.9329
0.5000 0.8571 0.0671
0.5000 0.8571 0.4329
0.0000 0.2451 0.7500
0.0000 0.7549 0.2500
0.5000 0.2549 0.2500
0.5000 0.7451 0.7500
```